DFT (PBE-GGA) results for a geometry-optimized Dy5Er5Tl structure.

```
11
Lattice="6.061 0.000 0.000 -3.030 5.249 0.000 0.000 0.000 11.175" Properties=species:S:1:pos:R:3 pbc="T T T"
Er 0.000 0.000 8.180
Dy 0.000 0.000 0.000
Dy 3.030 1.750 9.057
Er 4.523 0.887 5.588
Er 1.537 0.887 5.588
Dy 0.000 3.499 7.897
Er 3.030 3.474 5.588
Er 0.000 0.000 2.995
Dy 3.030 1.750 2.118
Tl 0.000 3.499 0.000
Dy 0.000 3.499 3.279
```

## Properties
Its magnetic moment is 0.00 μB per formula unit. The calculation puts the total energy at -44.65 eV per cell.